Record 1
Compound: PaTa2Re
Source: Alexandria
Functional: PBE
Structure: relaxed

Calculated values
ΔH_f (0 K) in eV per atom: 0.0240
Mass density in Mg/m³: 17.5
Density of states at the Fermi level in states/eV/cell: 4.9
Uncorrected energy in eV per atom: -11.3884
Magnetization in Bohr magnetons per cell: 0.00

Cell: 4.712 4.712 4.712 Å, 60.00 60.00 60.00°
Element x y z (fractional)
1 Pa 0.000 0.000 0.000
2 Ta 0.250 0.250 0.250
3 Ta 0.750 0.750 0.750
4 Re 0.500 0.500 0.500

=====

Record 2
Compound: Pa2TaRe
Source: Alexandria
Functional: PBE
Structure: relaxed

Calculated values
ΔH_f (0 K) in eV per atom: 0.4570
Mass density in Mg/m³: 16.4
Density of states at the Fermi level in states/eV/cell: 4.8
Uncorrected energy in eV per atom: -10.3662
Magnetization in Bohr magnetons per cell: 0.00

Cell: 10.638 10.638 10.638 Å, 16.43 16.43 16.43°
Element x y z (fractional)
1 Pa 0.092 0.092 0.092
2 Pa 0.908 0.908 0.908
3 Ta 0.000 0.000 0.000
4 Re 0.500 0.500 0.500

=====

Record 3
Compound: PaTaReTc
Source: Alexandria
Functional: PBE
Structure: relaxed

Calculated values
ΔH_f (0 K) in eV per atom: -0.1388
Mass density in Mg/m³: 15.8
Density of states at the Fermi level in states/eV/cell: 2.6
Uncorrected energy in eV per atom: -11.1794
Magnetization in Bohr magnetons per cell: 0.00

Cell: 4.699 4.699 4.699 Å, 60.00 60.00 60.00°
Element x y z (fractional)
1 Pa 0.000 0.000 0.000
2 Ta 0.500 0.500 0.500
3 Re 0.250 0.250 0.250
4 Tc 0.750 0.750 0.750

=====

Record 4
Compound: PaTaTiRe
Source: Alexandria
Functional: PBE
Structure: relaxed

Calculated values
ΔH_f (0 K) in eV per atom: -0.0440
Mass density in Mg/m³: 14.6
Density of states at the Fermi level in states/eV/cell: 4.9
Uncorrected energy in eV per atom: -10.4669
Magnetization in Bohr magnetons per cell: 0.00

Cell: 4.704 4.704 4.704 Å, 60.00 60.00 60.00°
Element x y z (fractional)
1 Pa 0.000 0.000 0.000
2 Ta 0.250 0.250 0.250
3 Ti 0.500 0.500 0.500
4 Re 0.750 0.750 0.750